No. 1
4
Lattice="3.985 0.000 0.000 0.000 2.013 5.985 0.000 -2.013 5.985" Properties=species:S:1:pos:R:3 comment="LaHg2Pt | Alexandria | PBEsol | optimized geometry" magmom_total_mub_per_cell=0.0 final_energy_ev_per_cell=-15.681 ef_ev_per_fu=-2.24 volume_a3_per_atom=24.012 pbc="T T T"
La 0.000 0.000 0.000
Hg 0.000 0.000 8.719
Hg 1.992 0.000 3.849
Pt 1.992 0.000 6.699

---

No. 2
4
Lattice="1.409 0.814 8.593 -1.409 0.814 8.593 0.000 -1.627 8.593" Properties=species:S:1:pos:R:3 comment="HgPF2 | Alexandria | PBEsol | optimized geometry" magmom_total_mub_per_cell=0.0 de_polymorph_mev_per_atom=0 final_energy_ev_per_cell=-14.935 volume_a3_per_atom=14.778 pbc="T T T"
Hg 0.000 0.000 0.000
P 0.000 0.000 12.889
F 0.000 0.000 11.187
F 0.000 0.000 14.591

---

Please write out number 2 again, unchanged.
4
Lattice="1.409 0.814 8.593 -1.409 0.814 8.593 0.000 -1.627 8.593" Properties=species:S:1:pos:R:3 comment="HgPF2 | Alexandria | PBEsol | optimized geometry" magmom_total_mub_per_cell=0.0 de_polymorph_mev_per_atom=0 final_energy_ev_per_cell=-14.935 volume_a3_per_atom=14.778 pbc="T T T"
Hg 0.000 0.000 0.000
P 0.000 0.000 12.889
F 0.000 0.000 11.187
F 0.000 0.000 14.591